TmHfCu2 | PBE | optimized geometry

energy of formation from the pure elements: -0.17 eV/atom
Fermi-level density of states: 4.55 states/eV per cell

Unit cell a=3.3337 b=3.3337 c=6.6582 alpha=90.00 beta=90.00 gamma=90.00
Closest atoms and distances in Å follow each position.
Sites, in units of the cell vectors:
Tm: 0.5000 0.5000 0.5000  8 Cu 3.01, 2 Hf 3.33, 4 Tm 3.33
Hf: 0.5000 0.5000 0.0000  8 Cu 2.77
Cu: 0.0000 0.0000 0.7814  4 Hf 2.77, 1 Cu 2.91, 4 Tm 3.01
Cu: 0.0000 0.0000 0.2186  4 Hf 2.77, 1 Cu 2.91, 4 Tm 3.01

---

TmHfCu4 | PBE | optimized geometry

energy of formation from the pure elements: -0.11 eV/atom
Fermi-level density of states: 3.86 states/eV per cell

Unit cell a=5.1128 b=5.1128 c=5.1128 alpha=60.00 beta=60.00 gamma=60.00
Closest atoms and distances in Å follow each position.
Sites, in units of the cell vectors:
Tm: 0.0000 0.0000 0.0000  12 Cu 3.00, 4 Hf 3.13
Hf: 0.2500 0.2500 0.2500  12 Cu 3.00, 4 Tm 3.13
Cu: 0.6244 0.6244 0.1267  6 Cu 2.54-2.57
Cu: 0.6244 0.1267 0.6244  6 Cu 2.54-2.57
Cu: 0.6244 0.6244 0.6244  6 Cu 2.54-2.57
Cu: 0.1267 0.6244 0.6244  6 Cu 2.54-2.57

---

TmHfCu4 | PBE | optimized geometry

energy of formation from the pure elements: 0.12 eV/atom
Fermi-level density of states: 3.83 states/eV per cell

Unit cell a=3.4631 b=8.9295 c=3.4625 alpha=90.00 beta=90.00 gamma=90.00
Closest atoms and distances in Å follow each position.
Sites, in units of the cell vectors:
Tm: 0.5000 0.5000 0.5000  8 Cu 2.90
Hf: 0.0000 0.0000 0.0000  8 Cu 2.75
Cu: 0.5000 0.7604 0.0000  4 Cu 2.45
Cu: 0.5000 0.2396 0.0000  4 Cu 2.45
Cu: 0.0000 0.2397 0.5000  4 Cu 2.45
Cu: 0.0000 0.7603 0.5000  4 Cu 2.45

---

TmHfCu | PBE | optimized geometry

energy of formation from the pure elements: 0.32 eV/atom
Fermi-level density of states: 7.77 states/eV per cell

Unit cell a=5.0670 b=5.0670 c=6.5205 alpha=67.14 beta=67.14 gamma=60.00
Closest atoms and distances in Å follow each position.
Sites, in units of the cell vectors:
Hf: 0.4041 0.4041 0.7877  1 Cu 2.52
Hf: 0.5959 0.5959 0.2123  1 Cu 2.52
Cu: 0.2600 0.2600 0.2200  1 Hf 2.52, 1 Tm 2.68
Cu: 0.7400 0.7400 0.7800  1 Hf 2.52, 1 Tm 2.68
Tm: 0.1070 0.1070 0.6791  4 Cu 2.68-2.98, 3 Hf 2.99
Tm: 0.8930 0.8930 0.3209  4 Cu 2.68-2.98, 3 Hf 2.99

---

- energy of formation from the pure elements of number 1 (TmHfCu2)?
  -0.17 eV/atom